1.
{
  "formula": "Be2HIrRu",
  "functional": "GGA-PBE",
  "state": "optimized geometry",
  "magmom_total_mub_per_cell": 0.0,
  "lattice_angstrom": [[-0.712, 2.278, 3.098], [-3.284, 1.279, -1.695], [-1.612, -2.345, 1.354]],
  "species": ["Be", "Be", "H", "Ir", "Ru"],
  "frac_coords": [[0.500, 0.000, 0.000], [0.000, 0.500, 0.000], [0.000, 0.000, 0.000], [0.500, 0.500, 0.500], [0.000, 0.000, 0.500]]
}

---

2.
{
  "formula": "BeHIrRu2",
  "functional": "GGA-PBE",
  "state": "optimized geometry",
  "magmom_total_mub_per_cell": 0.0,
  "lattice_angstrom": [[-1.463, -0.953, -3.403], [3.532, -0.283, -1.440], [0.105, -3.625, 0.970]],
  "species": ["H", "Be", "Ru", "Ru", "Ir"],
  "frac_coords": [[0.000, 0.000, 0.000], [0.000, 0.000, 0.500], [0.000, 0.500, 0.000], [0.500, 0.000, 0.000], [0.500, 0.500, 0.500]]
}

---

3.
{
  "formula": "ScBeH8Ir2",
  "functional": "GGA-PBE",
  "state": "optimized geometry",
  "magmom_total_mub_per_cell": 0.0,
  "lattice_angstrom": [[4.022, 0.000, 0.000], [2.011, 3.834, 0.044], [2.011, 1.486, 5.673]],
  "species": ["H", "H", "H", "H", "H", "H", "H", "H", "Sc", "Ir", "Ir", "Be"],
  "frac_coords": [[0.736, 0.407, 0.121], [0.619, 0.979, 0.316], [0.381, 0.021, 0.684], [0.914, 0.021, 0.684], [0.075, 0.507, 0.342], [0.086, 0.979, 0.316], [0.925, 0.493, 0.658], [0.264, 0.593, 0.879], [0.500, 0.500, 0.500], [0.301, 0.256, 0.143], [0.699, 0.744, 0.857], [0.000, 0.000, 0.000]]
}

---

4.
{
  "formula": "Sc2BeHIr",
  "functional": "GGA-PBE",
  "state": "optimized geometry",
  "magmom_total_mub_per_cell": 0.0,
  "lattice_angstrom": [[-1.191, 0.722, -4.330], [-3.386, -3.007, 0.430], [-1.982, 2.366, 0.940]],
  "species": ["H", "Sc", "Sc", "Ir", "Be"],
  "frac_coords": [[0.000, 0.000, 0.000], [0.500, 0.000, 0.000], [0.000, 0.500, 0.000], [0.500, 0.500, 0.500], [0.000, 0.000, 0.500]]
}

---

5.
{
  "formula": "TbBeH8Ir2",
  "functional": "GGA-PBE",
  "state": "optimized geometry",
  "magmom_total_mub_per_cell": 0.0,
  "lattice_angstrom": [[-0.085, 2.314, -3.426], [-2.253, -1.450, -3.419], [-5.579, 3.033, -0.309]],
  "species": ["Ir", "Ir", "Be", "Tb", "H", "H", "H", "H", "H", "H", "H", "H"],
  "frac_coords": [[0.705, 0.727, 0.863], [0.295, 0.273, 0.137], [0.000, 0.000, 0.000], [0.500, 0.500, 0.500], [0.072, 0.019, 0.310], [0.262, 0.590, 0.887], [0.401, 0.981, 0.690], [0.062, 0.563, 0.314], [0.599, 0.019, 0.310], [0.938, 0.437, 0.686], [0.738, 0.410, 0.113], [0.928, 0.981, 0.690]]
}

---

6.
{
  "formula": "TiBe2HIr",
  "functional": "GGA-PBE",
  "state": "optimized geometry",
  "magmom_total_mub_per_cell": 0.0,
  "lattice_angstrom": [[-3.518, -0.980, -0.306], [1.019, -3.462, -0.634], [-0.122, -0.707, 3.667]],
  "species": ["Ir", "Be", "Be", "Ti", "H"],
  "frac_coords": [[0.500, 0.500, 0.500], [0.000, 0.500, 0.000], [0.500, 0.000, 0.000], [0.000, 0.000, 0.500], [0.000, 0.000, 0.000]]
}

---

no.,raw total energy (eV/atom),mass density (g cm⁻³)
1,-5.876,10.76
2,-6.731,12.23
3,-4.691,8.50
4,-6.270,7.27
5,-4.609,10.03
6,-5.770,8.57